8
Lattice="-3.6370 3.6370 1.9775 3.6370 -3.6370 1.9775 3.6370 3.6370 -1.9775" Properties=species:S:1:pos:R:3 comment="GGA+U FeCu2O, optimized geometry" volume_a3_per_fu=52 e_tot_ev_per_cell=-37.679 m_tot_mub_per_fu=3.813 spacegroup="No. 122" dos_at_fermi_per_ev_cell=3.54 pbc="T T T"
Fe 0.0000 0.0000 0.0000
Fe 0.0000 3.6370 0.9888
Cu 1.8185 2.5062 -0.4944
Cu 4.7677 1.8185 0.4944
Cu 1.8185 1.1307 1.4831
Cu -1.1307 1.8185 2.4719
O 3.6370 0.0000 0.9888
O 0.0000 0.0000 1.9775